Entry 1:
DFT (GGA-PBE) results for an optimized crystal structure of Ac5Zn2.

**Symmetry**: C2/c, No. 15
**Raw total energy**: -3.376 eV per atom
**Density**: 7.96 g/cm³

Cell and atoms, written as extended XYZ:
```
14
Lattice="6.946 0.000 -2.698 -0.346 7.622 -0.891 -0.111 0.106 10.002" Properties=species:S:1:pos:R:3 pbc="T T T"
Ac 1.205 3.374 0.909
Ac -0.010 0.543 8.072
Ac 1.059 5.456 4.398
Ac 4.127 6.082 2.008
Ac 5.429 2.272 2.015
Ac 2.361 1.645 4.405
Ac 6.498 7.185 -1.660
Ac 5.283 4.353 5.503
Ac 3.831 1.905 -1.745
Ac 2.769 5.716 -1.845
Zn 1.084 3.333 6.872
Zn 2.822 0.583 1.057
Zn 5.404 4.394 -0.459
Zn 3.666 7.144 5.355
```

Entry 2:
DFT (GGA-PBE) results for an optimized crystal structure of Ce3Tl2Te6.

**Symmetry**: C2/m, No. 12
**Raw total energy**: -4.827 eV per atom
**ΔE_f (raw)**: -1065 meV/atom
**Density**: 6.04 g/cm³

Cell and atoms, written as extended XYZ:
```
11
Lattice="-5.099 5.983 -0.659 -7.342 -1.338 -2.551 -4.137 0.757 7.451" Properties=species:S:1:pos:R:3 pbc="T T T"
Ce 0.000 0.000 0.000
Ce -4.144 1.551 -1.069
Ce -8.297 3.095 -2.141
Tl -7.811 0.486 1.916
Tl -8.766 4.917 2.325
Te -10.201 2.126 3.882
Te -7.012 5.016 5.354
Te -6.061 0.572 4.949
Te -2.224 1.724 1.438
Te -6.377 3.276 0.360
Te -10.517 4.831 -0.707
```

Entry 3:
DFT (GGA-PBE) results for an optimized crystal structure of KScP4.

**Symmetry**: F-43m, No. 216
**Raw total energy**: -4.758 eV per atom
**Density**: 3.12 g/cm³

Cell and atoms, written as extended XYZ:
```
6
Lattice="-0.292 3.573 4.026 -4.679 0.809 2.552 -0.632 -1.704 5.076" Properties=species:S:1:pos:R:3 pbc="T T T"
K 0.000 0.000 0.000
Sc -4.202 2.009 8.741
P -2.283 2.697 6.347
P -2.442 0.230 6.838
P -4.334 1.405 5.658
P -2.147 1.026 4.465
```

Entry 4:
DFT (GGA-PBE) results for an optimized crystal structure of AlCd4Re.

**Symmetry**: F-43m, No. 216
**Raw total energy**: -2.535 eV per atom
**Density**: 9.31 g/cm³

Cell and atoms, written as extended XYZ:
```
6
Lattice="0.000 3.895 3.895 3.895 0.000 3.895 3.895 3.895 0.000" Properties=species:S:1:pos:R:3 pbc="T T T"
Al 0.000 0.000 0.000
Cd 2.926 4.864 4.864
Cd 4.864 4.864 2.926
Cd 4.864 2.926 4.864
Cd 2.926 2.926 2.926
Re 5.842 5.842 5.842
```

Entry 5:
DFT (GGA-PBE) results for an optimized crystal structure of LaNi5Sb.

**Symmetry**: Pnma, No. 62
**Raw total energy**: -5.761 eV per atom
**ΔE_f (raw)**: -339 meV/atom
**Density**: 8.70 g/cm³

Cell and atoms, written as extended XYZ:
```
28
Lattice="5.043 0.000 0.000 0.000 8.125 0.000 0.000 0.000 10.319" Properties=species:S:1:pos:R:3 pbc="T T T"
La 1.261 2.030 9.746
La 3.782 2.032 4.586
La 1.261 6.093 5.733
La 3.782 6.095 0.574
Ni 1.261 4.766 0.206
Ni 3.782 7.422 5.366
Ni 1.261 0.703 4.953
Ni 3.782 3.359 10.113
Ni 3.782 2.628 7.704
Ni 1.261 1.434 2.545
Ni 3.782 6.691 7.775
Ni 1.261 5.497 2.615
Ni 1.261 7.545 1.035
Ni 3.782 4.643 6.194
Ni 1.261 3.482 4.125
Ni 3.782 0.580 9.285
Ni 0.002 3.497 1.982
Ni 5.041 0.566 7.141
Ni 2.520 7.559 3.178
Ni 2.523 4.629 8.338
Ni 5.041 4.629 8.338
Ni 0.002 7.559 3.178
Ni 2.523 0.566 7.141
Ni 2.520 3.497 1.982
Sb 1.261 6.932 8.844
Sb 3.782 5.255 3.684
Sb 1.261 2.870 6.635
Sb 3.782 1.193 1.475
```

Entry 6:
DFT (GGA-PBE) results for an optimized crystal structure of FeCo.

**Symmetry**: R-3m, No. 166
**Raw total energy**: -7.731 eV per atom
**Density**: 8.32 g/cm³

Cell and atoms, written as extended XYZ:
```
2
Lattice="-3.611 1.551 -1.804 -2.279 0.407 -3.653 -3.682 -0.987 -2.043" Properties=species:S:1:pos:R:3 pbc="T T T"
Co 0.000 0.000 0.000
Fe -4.786 0.486 -3.750
```